#i
CrTeOsN2 | PBE-GGA | optimized geometry

Output
* density of states at the Fermi level: 4.1 states/eV/f.u.
* space group: P4/mmm (123)

Lattice parameters (Å, degrees): 3.7310 3.7310 5.8349 90.00 90.00 90.00
Fractional positions:
Os 0.5000 0.5000 0.5000
N 0.0000 0.5000 0.0000
N 0.5000 0.0000 0.0000
Cr 0.0000 0.0000 0.0000
Te 0.0000 0.0000 0.5000

---

#ii
CrTeOsN2 | PBE-GGA | optimized geometry

Output
* density of states at the Fermi level: 2.3 states/eV/f.u.
* space group: P4/mmm (123)

Lattice parameters (Å, degrees): 3.8328 3.8328 5.8450 90.00 90.00 90.00
Fractional positions:
Cr 0.5000 0.5000 0.5000
Os 0.0000 0.0000 0.0000
Te 0.0000 0.0000 0.5000
N 0.5000 0.0000 0.0000
N 0.0000 0.5000 0.0000

---

Least stable structure: #i

---

#i
Cr2OsWN | PBE-GGA | optimized geometry

Output
* density of states at the Fermi level: 4.9 states/eV/f.u.
* space group: P4/mmm (123)

Lattice parameters (Å, degrees): 3.8604 3.8604 4.0516 90.00 90.00 90.00
Fractional positions:
Os 0.5000 0.5000 0.5000
W 0.0000 0.0000 0.5000
Cr 0.0000 0.5000 0.0000
Cr 0.5000 0.0000 0.0000
N 0.0000 0.0000 0.0000

---

#ii
Cr2OsWN | PBE-GGA | optimized geometry

Output
* density of states at the Fermi level: 8.5 states/eV/f.u.
* space group: P4/mmm (123)

Lattice parameters (Å, degrees): 4.6210 3.7697 4.6210 90.00 90.00 90.00
Fractional positions:
Cr 0.5000 0.0000 0.0000
Cr 0.0000 0.0000 0.5000
N 0.0000 0.5000 0.0000
W 0.0000 0.0000 0.0000
Os 0.5000 0.5000 0.5000

---

Least stable structure: #ii

---

#i
CrP3N | PBE-GGA | optimized geometry

Output
* density of states at the Fermi level: 8.7 states/eV/f.u.
* space group: Pm-3m (221)

Lattice parameters (Å, degrees): 4.3293 4.3293 4.3293 90.00 90.00 90.00
Fractional positions:
Cr 0.0000 0.0000 0.0000
P 0.0000 0.5000 0.0000
P 0.0000 0.0000 0.5000
P 0.5000 0.0000 0.0000
N 0.5000 0.5000 0.5000

---

#ii
CrP3N | PBE-GGA | optimized geometry

Output
* density of states at the Fermi level: 2.6 states/eV/f.u.
* space group: Pm-3m (221)

Lattice parameters (Å, degrees): 3.9901 3.9901 3.9901 90.00 90.00 90.00
Fractional positions:
P 0.5000 0.0000 0.0000
P 0.0000 0.0000 0.5000
P 0.0000 0.5000 0.0000
N 0.0000 0.0000 0.0000
Cr 0.5000 0.5000 0.5000

---

Least stable structure: #i

---

#i
Cr4PN | PBE-GGA | optimized geometry

Output
* density of states at the Fermi level: 6.8 states/eV/f.u.
* space group: P2_1/c (14)

Lattice parameters (Å, degrees): 5.6321 4.8114 5.0573 90.00 104.29 90.00
Fractional positions:
N 0.0000 0.5000 0.5000
N 0.5000 0.0000 0.5000
Cr 0.6933 0.6416 0.5823
Cr 0.1933 0.8584 0.5823
Cr 0.1199 0.3861 0.8591
Cr 0.8067 0.1416 0.4177
Cr 0.3801 0.8861 0.1409
Cr 0.6199 0.1139 0.8591
Cr 0.3067 0.3584 0.4177
Cr 0.8801 0.6139 0.1409
P 0.0000 0.0000 0.0000
P 0.5000 0.5000 0.0000

---

#ii
Cr4PN | PBE-GGA | optimized geometry

Output
* density of states at the Fermi level: 5.9 states/eV/f.u.
* space group: C2/m (12)

Lattice parameters (Å, degrees): 2.7776 4.8519 5.1439 88.61 105.66 73.32
Fractional positions:
Cr 0.9142 0.8378 0.6674
Cr 0.7068 0.7106 0.1224
Cr 0.0858 0.1622 0.3326
Cr 0.2932 0.2894 0.8776
P 0.5000 0.5000 0.5000
N 0.0000 0.0000 0.0000

---

Least stable structure: #i

---

#i
CrP2SN | PBE-GGA | optimized geometry

Output
* density of states at the Fermi level: 3.4 states/eV/f.u.
* space group: P4/mmm (123)

Lattice parameters (Å, degrees): 4.4483 4.4483 4.2840 90.00 90.00 90.00
Fractional positions:
N 0.5000 0.5000 0.5000
P 0.5000 0.0000 0.0000
P 0.0000 0.5000 0.0000
Cr 0.0000 0.0000 0.0000
S 0.0000 0.0000 0.5000

---

#ii
CrP2SN | PBE-GGA | optimized geometry

Output
* density of states at the Fermi level: 3.6 states/eV/f.u.
* space group: P4/mmm (123)

Lattice parameters (Å, degrees): 3.8855 3.8855 4.1337 90.00 90.00 90.00
Fractional positions:
N 0.0000 0.0000 0.0000
Cr 0.5000 0.5000 0.5000
P 0.5000 0.0000 0.0000
P 0.0000 0.5000 0.0000
S 0.0000 0.0000 0.5000

---

Least stable structure: #i

---

#i
CrPS2N | PBE-GGA | optimized geometry

Output
* density of states at the Fermi level: 4.4 states/eV/f.u.
* space group: P4/mmm (123)

Lattice parameters (Å, degrees): 4.6210 4.6210 3.1940 90.00 90.00 90.00
Fractional positions:
N 0.0000 0.0000 0.5000
P 0.0000 0.0000 0.0000
S 0.0000 0.5000 0.0000
S 0.5000 0.0000 0.0000
Cr 0.5000 0.5000 0.5000

---

#ii
CrPS2N | PBE-GGA | optimized geometry

Output
* density of states at the Fermi level: 4.8 states/eV/f.u.
* space group: P4/mmm (123)

Lattice parameters (Å, degrees): 4.1037 4.1037 3.8037 90.00 90.00 90.00
Fractional positions:
N 0.0000 0.0000 0.0000
P 0.0000 0.0000 0.5000
Cr 0.5000 0.5000 0.5000
S 0.0000 0.5000 0.0000
S 0.5000 0.0000 0.0000

---

#iii
CrPS2N | PBE-GGA | optimized geometry

Output
* density of states at the Fermi level: 2.3 states/eV/f.u.
* space group: P4/mmm (123)

Lattice parameters (Å, degrees): 4.6545 4.6545 3.5026 90.00 90.00 90.00
Fractional positions:
N 0.0000 0.0000 0.5000
Cr 0.0000 0.0000 0.0000
S 0.0000 0.5000 0.0000
S 0.5000 0.0000 0.0000
P 0.5000 0.5000 0.5000

---

Least stable structure: #ii